No. 1
Entry from Alexandria: a relaxed structure of Nb3ZnAu (PBE).

Values from the calculation:
E_form ... 1120 meV/atom

Lattice parameters (Å, degrees): 4.6900 4.6900 4.6900 90.00 90.00 90.00
Last column: nearest neighbours and their distance in Å.
Space group Pm-3m (No. 221)
Symmetry-distinct sites (fractional):
Nb 0.0000 0.0000 0.5000  2 Zn 2.34
Zn 0.0000 0.0000 0.0000  6 Nb 2.34
Au 0.5000 0.5000 0.5000  12 Nb 3.32


No. 2
Entry from Alexandria: a relaxed structure of NbGaPd3 (PBE).

Values from the calculation:
E_form ... 858 meV/atom

Lattice parameters (Å, degrees): 4.8850 4.8850 4.8850 90.00 90.00 90.00
Last column: nearest neighbours and their distance in Å.
Space group Pm-3m (No. 221)
Symmetry-distinct sites (fractional):
Nb 0.0000 0.0000 0.0000  6 Pd 2.44
Ga 0.5000 0.5000 0.5000  12 Pd 3.45
Pd 0.0000 0.0000 0.5000  2 Nb 2.44


No. 3
Entry from Alexandria: a relaxed structure of Be3Cr4 (PBE).

Values from the calculation:
E_form ... -65 meV/atom

Lattice parameters (Å, degrees): 4.3100 4.3100 4.3015 90.00 90.00 120.00
Last column: nearest neighbours and their distance in Å.
Space group P6/mmm (No. 191)
Symmetry-distinct sites (fractional):
Be 0.0000 0.5000 0.0000  4 Be 2.16, 4 Cr 2.41
Cr 0.0000 0.0000 0.2508  2 Cr 2.14-2.16
Cr 0.3333 0.6667 0.5000  6 Be 2.48, 9 Cr 2.49-2.71


No. 4
Entry from Alexandria: a relaxed structure of SrTbZn (PBE).

Values from the calculation:
E_form ... -113 meV/atom

Lattice parameters (Å, degrees): 3.7408 3.7408 13.3829 90.00 90.00 90.00
Last column: nearest neighbours and their distance in Å.
Space group I4mm (No. 107)
Symmetry-distinct sites (fractional):
Sr 0.0000 0.0000 0.0000  4 Zn 3.42, 1 Tb 3.64, 4 Sr 3.74
Tb 0.0000 0.0000 0.2720  4 Zn 3.03
Zn 0.0000 0.0000 0.6620  4 Tb 3.03


No. 5
Entry from Alexandria: a relaxed structure of SmHo12Th3 (PBE).

Values from the calculation:
E_form ... 33 meV/atom

Lattice parameters (Å, degrees): 5.0104 5.0104 19.9872 90.00 90.00 90.00
Last column: nearest neighbours and their distance in Å.
Space group P4/mmm (No. 123)
Symmetry-distinct sites (fractional):
Sm 0.0000 0.0000 0.0000  12 Ho 3.54-3.57
Ho 0.0000 0.5000 0.1272  8 Ho 3.51-3.57, 2 Th 3.52, 2 Sm 3.57
Ho 0.0000 0.5000 0.3756  4 Th 3.53, 8 Ho 3.53-3.54
Ho 0.5000 0.5000 0.0000  4 Sm 3.54, 8 Ho 3.57
Ho 0.5000 0.5000 0.2506  8 Ho 3.51-3.54, 4 Th 3.54
Ho 0.5000 0.5000 0.5000  8 Ho 3.53, 4 Th 3.54
Th 0.0000 0.0000 0.2511  12 Ho 3.52-3.54
Th 0.0000 0.0000 0.5000  12 Ho 3.53-3.54


No. 6
Entry from Alexandria: a relaxed structure of LaCdH8Ir2 (PBE).

Values from the calculation:
DFT total energy ... -4.285 eV per atom

Lattice parameters (Å, degrees): 4.8691 4.8691 18.0441 90.00 90.00 120.00
Last column: nearest neighbours and their distance in Å.
Space group R-3 (No. 148, hexagonal axes)
Symmetry-distinct sites (fractional):
La 0.0000 0.0000 0.0000  6 H 2.38
Cd 0.0000 0.0000 0.5000  6 H 2.16
H 0.0000 0.0000 0.3157  1 Ir 1.61
H 0.0333 0.2979 0.8924  1 Ir 1.65
Ir 0.0000 0.0000 0.2262  4 H 1.61-1.65


No. 7
Entry from Alexandria: a relaxed structure of TcSe2Cl (PBE).

Values from the calculation:
Uncorrected formation energy ... 0.080 eV/atom

Lattice parameters (Å, degrees): 2.9553 2.9553 9.9016 90.00 90.00 90.00
Last column: nearest neighbours and their distance in Å.
Space group P4mm (No. 99)
Symmetry-distinct sites (fractional):
Tc 0.0000 0.0000 0.0000  4 Se 2.57, 4 Cl 2.66
Se 0.0000 0.0000 0.5200  4 Se 2.96
Se 0.5000 0.5000 0.8489  4 Tc 2.57
Cl 0.5000 0.5000 0.1663  4 Tc 2.66, 4 Cl 2.96


No. 8
Entry from Alexandria: a relaxed structure of Li2CeIr (PBE).

Values from the calculation:
E_form ... -110 meV/atom

Lattice parameters (Å, degrees): 6.3900 6.3900 6.3900 90.00 90.00 90.00
Last column: nearest neighbours and their distance in Å.
Space group Fm-3m (No. 225)
Symmetry-distinct sites (fractional):
Li 0.2500 0.2500 0.2500  4 Ce 2.77, 4 Ir 2.77
Ce 0.0000 0.0000 0.0000  8 Li 2.77
Ir 0.0000 0.0000 0.5000  8 Li 2.77


No. 9
Entry from Alexandria: a relaxed structure of Ba4CdAu (PBE).

Values from the calculation:
E_form ... 375 meV/atom

Lattice parameters (Å, degrees): 10.2257 10.2257 10.2257 90.00 90.00 90.00
Last column: nearest neighbours and their distance in Å.
Space group F-43m (No. 216)
Symmetry-distinct sites (fractional):
Ba 0.1254 0.1254 0.1254  6 Ba 3.60-3.63
Cd 0.2500 0.2500 0.7500  12 Ba 4.24, 4 Au 4.43
Au 0.0000 0.0000 0.5000  12 Ba 4.24, 4 Cd 4.43


No. 10
Entry from Alexandria: a relaxed structure of TlAgS2 (PBE).

Values from the calculation:
Uncorrected formation energy ... -0.038 eV/atom

Lattice parameters (Å, degrees): 3.9417 3.9417 5.4684 90.00 90.00 90.00
Last column: nearest neighbours and their distance in Å.
Space group P4/mmm (No. 123)
Symmetry-distinct sites (fractional):
Tl 0.0000 0.0000 0.0000  6 S 2.73-2.79
Ag 0.5000 0.5000 0.5000  6 S 2.73-2.79
S 0.0000 0.0000 0.5000  2 Tl 2.73, 4 Ag 2.79
S 0.5000 0.5000 0.0000  2 Ag 2.73, 4 Tl 2.79


No. 11
Entry from Alexandria: a relaxed structure of MnTc2Ag (PBE).

Values from the calculation:
E_form ... 413 meV/atom

Lattice parameters (Å, degrees): 3.1058 3.1058 6.2055 90.00 90.00 90.00
Last column: nearest neighbours and their distance in Å.
Space group P4/mmm (No. 123)
Symmetry-distinct sites (fractional):
Mn 0.0000 0.0000 0.0000  8 Tc 2.52
Tc 0.5000 0.5000 0.2006  1 Tc 2.49, 4 Mn 2.52
Ag 0.0000 0.0000 0.5000  8 Tc 2.88, 2 Mn 3.10, 4 Ag 3.11


No. 12
Entry from Alexandria: a relaxed structure of Pm2ErPt (PBE).

Values from the calculation:
E_form ... -666 meV/atom

Lattice parameters (Å, degrees): 7.1115 9.9128 6.5469 90.00 90.00 90.00
Last column: nearest neighbours and their distance in Å.
Space group Pnma (No. 62)
Symmetry-distinct sites (fractional):
Pm 0.1828 0.0609 0.1777  2 Pt 2.95-2.98
Er 0.0316 0.2500 0.6420  2 Pt 2.80-2.84
Pt 0.1139 0.7500 0.9546  2 Er 2.80-2.84, 4 Pm 2.95-2.98